## MnGeO2 (PBE+U)

Data for MnGeO2 after structural relaxation.

a b c (Å): 3.0360 3.0360 18.5365
angles (deg): 90.00 90.00 120.00
Space group R-3m (No. 166, hexagonal axes)
Inequivalent atoms, fractional coordinates:
1 Mn 0.0000 0.0000 0.0000
2 Ge 0.0000 0.0000 0.5000
3 O 0.0000 0.0000 0.3934

D(E_F) = 10.8 states/eV per cell
total energy = -6.65 eV/atom
total moment = 12.9 μB per cell